Record 1
4
Lattice="-2.334 2.334 4.543 2.334 -2.334 4.543 2.334 2.334 -4.543" Properties=species:S:1:pos:R:3 comment="BaSb2Ru, relaxed, DFT GGA-PBEsol" e_form_raw_ev_per_atom=0.348 pbc="T T T"
Ba 0.000 0.000 0.000
Sb 2.334 0.000 2.272
Sb 0.000 0.000 4.543
Ru 0.000 2.334 2.272



Record 2
4
Lattice="4.552 0.000 0.000 0.000 4.552 0.000 0.000 0.000 4.754" Properties=species:S:1:pos:R:3 comment="BaSb2Ru, relaxed, DFT GGA-PBEsol" e_form_raw_ev_per_atom=0.277 pbc="T T T"
Ba 0.000 0.000 0.000
Sb 0.000 2.276 2.377
Sb 2.276 0.000 2.377
Ru 2.276 2.276 0.000



Record 3
5
Lattice="5.797 0.000 0.000 0.000 5.797 0.000 0.000 0.000 5.067" Properties=species:S:1:pos:R:3 comment="Ba2TiSbRu, relaxed, DFT GGA-PBEsol" e_form_raw_ev_per_atom=1.067 pbc="T T T"
Ba 0.000 2.898 0.000
Ba 2.898 0.000 0.000
Ti 0.000 0.000 0.000
Sb 0.000 0.000 2.534
Ru 2.898 2.898 2.534



Record 4
4
Lattice="3.307 0.000 0.000 0.000 3.307 0.000 0.000 0.000 7.311" Properties=species:S:1:pos:R:3 comment="BaScRu2, relaxed, DFT GGA-PBEsol" final_energy_ev_per_atom=-6.943 pbc="T T T"
Ba 0.000 0.000 0.000
Sc 0.000 0.000 3.656
Ru 1.654 1.654 2.257
Ru 1.654 1.654 5.054



Record 5
4
Lattice="3.780 0.000 0.000 0.000 4.921 0.000 -1.359 0.000 6.066" Properties=species:S:1:pos:R:3 comment="Ba2ScRu, relaxed, DFT GGA-PBEsol" final_energy_ev_per_atom=-4.557 pbc="T T T"
Ba 0.057 0.000 1.640
Ba 2.364 0.000 4.426
Sc 1.890 2.460 0.000
Ru 1.211 2.460 3.033



Record 6
4
Lattice="4.800 0.000 0.000 0.000 4.800 0.000 0.000 0.000 3.360" Properties=species:S:1:pos:R:3 comment="BaScRu2, relaxed, DFT GGA-PBEsol" final_energy_ev_per_atom=-6.705 pbc="T T T"
Ba 0.000 0.000 0.000
Sc 2.400 2.400 0.000
Ru 0.000 2.400 1.680
Ru 2.400 0.000 1.680